1.
Tb8Dy3Th2 | GGA-PBE | optimized geometry

Lattice parameters (Å, degrees): 5.665 7.384 11.008 109.60 90.02 90.00
Element x y z (fractional)
Tb 0.500 0.392 0.217
Tb 0.500 0.824 0.217
Tb 0.000 0.861 0.723
Tb 0.500 0.176 0.783
Tb 0.000 0.332 0.665
Tb 0.000 0.139 0.277
Tb 0.500 0.608 0.783
Tb 0.000 0.668 0.335
Dy 0.500 0.000 0.000
Dy 0.000 0.276 0.000
Dy 0.000 0.724 0.000
Th 0.499 0.245 0.490
Th 0.501 0.755 0.510

Properties
- symmetry = C2/m (12)
- E_form (eV/f.u.) = 3.53
- energy above the most stable polymorph in this dataset (eV/atom) = 0.158

---

2.
MgCoSe2 | GGA-PBE | optimized geometry

Lattice parameters (Å, degrees): 5.605 5.605 4.460 58.74 58.74 78.30
Last column: magnetic moment on the atom in μB.
Element x y z (fractional)
Mg 0.000 0.500 0.500  0.00
Se 0.500 0.500 0.000  0.08
Se 0.000 0.000 0.000  0.08
Co 0.500 0.000 0.500  1.96

Properties
- symmetry = C2/m (12)
- ΔE_f (raw) (meV/atom) = -167.1
- energy above the most stable polymorph in this dataset (eV/atom) = 0.358

---

3.
NaCaCd4 | GGA-PBE | optimized geometry

Lattice parameters (Å, degrees): 6.001 6.001 6.001 60.00 60.00 60.00
Element x y z (fractional)
Na 0.000 0.000 0.000
Cd 0.125 0.625 0.625
Cd 0.625 0.125 0.625
Cd 0.625 0.625 0.125
Cd 0.625 0.625 0.625
Ca 0.250 0.250 0.250

Properties
- symmetry = F-43m (216)
- E_form (eV/f.u.) = -1.20
- energy above the most stable polymorph in this dataset (eV/atom) = 0.015

---

4.
La6Rh7 | GGA-PBE | optimized geometry

Lattice parameters (Å, degrees): 10.589 10.589 10.589 31.19 31.19 31.19
Element x y z (fractional)
La 0.060 0.060 0.060
La 0.164 0.164 0.164
La 0.341 0.341 0.341
La 0.659 0.659 0.659
La 0.836 0.836 0.836
La 0.940 0.940 0.940
Rh 0.410 0.410 0.902
Rh 0.590 0.098 0.590
Rh 0.590 0.590 0.098
Rh 0.098 0.590 0.590
Rh 0.500 0.500 0.500
Rh 0.902 0.410 0.410
Rh 0.410 0.902 0.410

Properties
- symmetry = R-3m (166)
- E_form (eV/f.u.) = -6.79

---

5.
LiRhI2N | GGA-PBE | optimized geometry

Lattice parameters (Å, degrees): 5.710 5.710 3.731 90.00 90.00 90.00
Element x y z (fractional)
N 0.000 0.000 0.500
Rh 0.000 0.000 0.000
I 0.000 0.500 0.000
I 0.500 0.000 0.000
Li 0.500 0.500 0.500

Properties
- symmetry = P4/mmm (123)
- ΔE_f (raw) (meV/atom) = -8.0
- energy above the most stable polymorph in this dataset (eV/atom) = 0.000

---

6.
KIn6Hg | GGA-PBE | optimized geometry

Lattice parameters (Å, degrees): 5.226 5.226 9.002 90.00 90.00 90.00
Element x y z (fractional)
K 0.000 0.000 0.000
In 0.500 0.500 0.160
In 0.000 0.500 0.674
In 0.500 0.500 0.840
In 0.500 0.000 0.674
In 0.000 0.500 0.326
In 0.500 0.000 0.326
Hg 0.000 0.000 0.500

Properties
- symmetry = P4/mmm (123)
- E_form (eV/f.u.) = -0.62
- energy above the most stable polymorph in this dataset (eV/atom) = 0.000

---

7.
AlGe3H | GGA-PBE | optimized geometry

Lattice parameters (Å, degrees): 4.289 4.289 4.289 90.00 90.00 90.00
Element x y z (fractional)
Ge 0.000 0.000 0.500
Ge 0.000 0.500 0.000
Ge 0.500 0.000 0.000
Al 0.500 0.500 0.500
H 0.000 0.000 0.000

Properties
- symmetry = Pm-3m (221)
- energy above the most stable polymorph in this dataset (eV/atom) = 0.000

---

8.
SrVFeIr2 | GGA-PBE | optimized geometry

Lattice parameters (Å, degrees): 4.727 4.348 4.727 90.00 90.00 90.00
Last column: magnetic moment on the atom in μB.
Element x y z (fractional)
V 0.000 0.500 0.000  2.04
Fe 0.000 0.000 0.000  -1.74
Sr 0.500 0.500 0.500  0.04
Ir 0.500 0.000 0.000  -0.24
Ir 0.000 0.000 0.500  -0.55

Properties
- symmetry = P4/mmm (123)
- E_form (eV/f.u.) = 2.55

---

no.,E (eV for the cell shown)
1,-62.2
2,-16.3
3,-8.2
4,-87.8
5,-20.7
6,-18.4
7,-18.8
8,-34.4